## CaYSe (SCAN)

Data for a crystal of CaYSe relaxed with PBEsol.

Summary:
- Raw formation energy: 0.000 eV/atom
- Final energy: -19.19 eV/atom

Cell lengths 7.103, 7.103, 7.103 Å; angles 90.00, 90.00, 90.00 degrees
Space group F-43m (No. 216)
Unique sites:
Ca (0.000, 0.000, 0.000) x4
Y (0.250, 0.250, 0.750) x4
Se (0.000, 0.000, 0.500) x4



## BeRhSe2F (SCAN)

Data for a crystal of BeRhSe2F relaxed with PBEsol.

Summary:
- Raw formation energy: 0.267 eV/atom
- Final energy: -16.10 eV/atom

Cell lengths 4.302, 4.302, 4.183 Å; angles 90.00, 90.00, 90.00 degrees
Space group P4/mmm (No. 123)
Unique sites:
Be (0.000, 0.000, 0.000) x1
Rh (0.000, 0.000, 0.500) x1
Se (0.000, 0.500, 0.000) x2
F (0.500, 0.500, 0.500) x1



## Ba2LaSc (SCAN)

Data for a crystal of Ba2LaSc relaxed with PBEsol.

Summary:
- Formation energy from the elements: 0.27 eV per atom
- Final energy: -33.84 eV/atom

Cell lengths 3.7935, 3.7935, 37.4297 Å; angles 90.00, 90.00, 120.00 degrees
Space group R3m (No. 160, hexagonal axes)
Unique sites:
Ba (0.0000, 0.0000, 0.0000) x3
Ba (0.0000, 0.0000, 0.2352) x3
La (0.0000, 0.0000, 0.4792) x3
Sc (0.0000, 0.0000, 0.7449) x3



## La2AgIr (SCAN)

Data for a crystal of La2AgIr relaxed with PBEsol.

Summary:
- Formation energy from the elements: -0.57 eV per atom
- Excess energy over the best structure of this formula in the dataset: 54 meV/atom
- Final energy: -47.74 eV/atom

Cell lengths 3.597, 3.597, 7.474 Å; angles 90.00, 90.00, 90.00 degrees
Space group P4/mmm (No. 123)
Unique sites:
La (0.000, 0.000, 0.224) x2
Ag (0.500, 0.500, 0.500) x1
Ir (0.500, 0.500, 0.000) x1



## TaTe2Pt (SCAN)

Data for a crystal of TaTe2Pt relaxed with PBEsol.

Summary:
- Raw formation energy: 0.480 eV/atom
- Final energy: -52.34 eV/atom

Cell lengths 6.872, 6.872, 6.872 Å; angles 90.00, 90.00, 90.00 degrees
Space group F-43m (No. 216)
Unique sites:
Ta (0.000, 0.000, 0.000) x4
Te (0.000, 0.000, 0.500) x4
Te (0.250, 0.250, 0.750) x4
Pt (0.250, 0.250, 0.250) x4



## YIn2Mo (SCAN)

Data for a crystal of YIn2Mo relaxed with PBEsol.

Summary:
- Formation energy from the elements: 0.07 eV per atom
- Excess energy over the best structure of this formula in the dataset: 0 meV/atom
- Final energy: -32.31 eV/atom

Cell lengths 6.076, 8.795, 3.090 Å; angles 90.00, 90.00, 90.00 degrees
Space group Cmmm (No. 65)
Unique sites:
Y (0.000, 0.000, 0.000) x2
In (0.250, 0.250, 0.500) x4
Mo (0.000, 0.500, 0.000) x2



## Al2FeTe (SCAN)

Data for a crystal of Al2FeTe relaxed with PBEsol.

Summary:
- Raw formation energy: 0.297 eV/atom
- Final energy: -17.42 eV/atom

Cell lengths 5.392, 10.084, 3.237 Å; angles 90.00, 126.47, 90.00 degrees
Space group C2/m (No. 12)
Unique sites:
Al (0.250, 0.250, 0.000) x4
Fe (0.000, 0.000, 0.500) x2
Te (0.000, 0.500, 0.500) x2



## LiAs2Cl (SCAN)

Data for a crystal of LiAs2Cl relaxed with PBEsol.

Summary:
- Excess energy over the best structure of this formula in the dataset: 128 meV/atom
- Raw formation energy: -0.803 eV/atom
- Final energy: -13.49 eV/atom

Cell lengths 3.013, 3.537, 8.462 Å; angles 90.00, 90.10, 90.00 degrees
Space group Pm (No. 6)
Unique sites:
Li (0.000, 0.000, 0.000) x1
As (0.994, 0.000, 0.653) x1
As (0.994, 0.500, 0.453) x1
Cl (0.500, 0.500, 0.018) x1



## Co2ReHg (SCAN)

Data for a crystal of Co2ReHg relaxed with PBEsol.

Summary:
- Formation energy from the elements: 0.44 eV per atom
- Final energy: -43.03 eV/atom

Cell lengths 2.717, 3.461, 5.743 Å; angles 90.00, 90.00, 90.00 degrees
Space group Pmmm (No. 47)
Unique sites:
Co (0.000, 0.000, 0.211) x2
Re (0.500, 0.500, 0.000) x1
Hg (0.500, 0.500, 0.500) x1



## Li3Mn7O16 (SCAN)

Data for a crystal of Li3Mn7O16 relaxed with PBEsol.

Summary:
- Raw formation energy: -2.113 eV/atom
- Final energy: -11.14 eV/atom

Cell lengths 5.6750, 5.6750, 28.0226 Å; angles 90.00, 90.00, 120.00 degrees
Space group R3m (No. 160, hexagonal axes)
Unique sites:
Li (0.0000, 0.0000, 0.0000) x3
Li (0.0000, 0.0000, 0.1228) x3
Li (0.0000, 0.0000, 0.5000) x3
Mn (0.0000, 0.0000, 0.3099) x3
Mn (0.0059, 0.5029, 0.5604) x9
Mn (0.1705, 0.3411, 0.3951) x9
O (0.0000, 0.0000, 0.1923) x3
O (0.0000, 0.0000, 0.4297) x3
O (0.0000, 0.0000, 0.6923) x3
O (0.0000, 0.0000, 0.9306) x3
O (0.0175, 0.5087, 0.4273) x9
O (0.0407, 0.5204, 0.9341) x9
O (0.1759, 0.3518, 0.5284) x9
O (0.1856, 0.3712, 0.0210) x9



## LaZr3Cr (SCAN)

Data for a crystal of LaZr3Cr relaxed with PBEsol.

Summary:
- Formation energy from the elements: 1.37 eV per atom
- Final energy: -29.35 eV/atom

Cell lengths 5.043, 5.043, 5.043 Å; angles 90.00, 90.00, 90.00 degrees
Space group Pm-3m (No. 221)
Unique sites:
La (0.000, 0.000, 0.000) x1
Zr (0.000, 0.000, 0.500) x3
Cr (0.500, 0.500, 0.500) x1



## AgIr3Rh (SCAN)

Data for a crystal of AgIr3Rh relaxed with PBEsol.

Summary:
- Formation energy from the elements: 2.90 eV per atom
- Final energy: -52.79 eV/atom

Cell lengths 4.647, 4.647, 4.647 Å; angles 90.00, 90.00, 90.00 degrees
Space group Pm-3m (No. 221)
Unique sites:
Ag (0.000, 0.000, 0.000) x1
Ir (0.000, 0.000, 0.500) x3
Rh (0.500, 0.500, 0.500) x1